(1)
{"formula": "Tb2Pm6Dy3In", "functional": "PBE-GGA", "state": "relaxed", "lattice": [[3.089, -5.362, 0.000], [3.089, 5.362, 0.000], [-2.081, 0.000, 11.603]], "species": ["Tb", "Tb", "Pm", "Pm", "Pm", "Pm", "Pm", "Pm", "Dy", "Dy", "Dy", "In"], "frac_coords": [[0.166, 0.834, 0.000], [0.834, 0.166, 0.000], [0.091, 0.418, 0.752], [0.256, 0.256, 0.249], [0.418, 0.091, 0.752], [0.582, 0.909, 0.248], [0.744, 0.744, 0.751], [0.909, 0.582, 0.248], [0.000, 0.000, 0.500], [0.332, 0.668, 0.500], [0.668, 0.332, 0.500], [0.500, 0.500, 0.000]], "crystal_system": "monoclinic", "space_group": "C2/m (12)"}


(2)
{"formula": "TbPmDy2In4", "functional": "PBE-GGA", "state": "relaxed", "lattice": [[2.674, 1.544, 8.750], [-2.674, 1.544, 8.750], [0.000, -3.088, 8.750]], "species": ["Tb", "Pm", "Dy", "Dy", "In", "In", "In", "In"], "frac_coords": [[0.000, 0.000, 0.000], [0.500, 0.500, 0.500], [0.250, 0.250, 0.250], [0.750, 0.750, 0.750], [0.124, 0.124, 0.124], [0.374, 0.374, 0.374], [0.626, 0.626, 0.626], [0.876, 0.876, 0.876]], "crystal_system": "trigonal", "space_group": "R-3m (166)"}


(3)
{"formula": "Tb2PmDy5In", "functional": "PBE-GGA", "state": "relaxed", "lattice": [[2.695, -10.022, 0.000], [2.695, 10.022, 0.000], [0.000, 0.000, 10.570]], "species": ["Tb", "Tb", "Tb", "Tb", "Pm", "Pm", "Dy", "Dy", "Dy", "Dy", "Dy", "Dy", "Dy", "Dy", "Dy", "Dy", "In", "In"], "frac_coords": [[0.116, 0.884, 0.543], [0.116, 0.884, 0.957], [0.884, 0.116, 0.043], [0.884, 0.116, 0.457], [0.208, 0.792, 0.250], [0.792, 0.208, 0.750], [0.012, 0.988, 0.250], [0.291, 0.709, 0.549], [0.291, 0.709, 0.951], [0.386, 0.614, 0.250], [0.500, 0.500, 0.000], [0.500, 0.500, 0.500], [0.614, 0.386, 0.750], [0.709, 0.291, 0.049], [0.709, 0.291, 0.451], [0.988, 0.012, 0.750], [0.405, 0.595, 0.750], [0.595, 0.405, 0.250]], "crystal_system": "orthorhombic", "space_group": "Cmcm (63)"}


(4)
{"formula": "Tb2Pm3Dy6In", "functional": "PBE-GGA", "state": "relaxed", "lattice": [[3.067, -5.312, 0.000], [3.067, 5.312, 0.000], [-2.047, 0.000, 11.515]], "species": ["Tb", "Tb", "Pm", "Pm", "Pm", "Dy", "Dy", "Dy", "Dy", "Dy", "Dy", "In"], "frac_coords": [[0.166, 0.834, 0.000], [0.834, 0.166, 0.000], [0.000, 0.000, 0.500], [0.333, 0.667, 0.500], [0.667, 0.333, 0.500], [0.091, 0.419, 0.756], [0.254, 0.254, 0.245], [0.419, 0.091, 0.756], [0.581, 0.909, 0.244], [0.746, 0.746, 0.755], [0.909, 0.581, 0.244], [0.500, 0.500, 0.000]], "crystal_system": "monoclinic", "space_group": "C2/m (12)"}


(5)
{"formula": "Tb3Pm2Dy6In", "functional": "PBE-GGA", "state": "relaxed", "lattice": [[3.050, -5.287, 0.000], [3.050, 5.287, 0.000], [-2.041, 0.000, 11.541]], "species": ["Tb", "Tb", "Tb", "Pm", "Pm", "Dy", "Dy", "Dy", "Dy", "Dy", "Dy", "In"], "frac_coords": [[0.000, 0.000, 0.000], [0.333, 0.667, 0.000], [0.667, 0.333, 0.000], [0.166, 0.834, 0.500], [0.834, 0.166, 0.500], [0.090, 0.417, 0.251], [0.256, 0.256, 0.750], [0.417, 0.090, 0.251], [0.583, 0.910, 0.749], [0.744, 0.744, 0.250], [0.910, 0.583, 0.749], [0.500, 0.500, 0.500]], "crystal_system": "monoclinic", "space_group": "C2/m (12)"}


(6)
{"formula": "Tb5Pm2DyIn", "functional": "PBE-GGA", "state": "relaxed", "lattice": [[2.706, -10.059, 0.000], [2.706, 10.059, 0.000], [0.000, 0.000, 10.615]], "species": ["Tb", "Tb", "Tb", "Tb", "Tb", "Tb", "Tb", "Tb", "Tb", "Tb", "Pm", "Pm", "Pm", "Pm", "Dy", "Dy", "In", "In"], "frac_coords": [[0.000, 0.000, 0.000], [0.000, 0.000, 0.500], [0.116, 0.884, 0.750], [0.210, 0.790, 0.051], [0.210, 0.790, 0.450], [0.487, 0.513, 0.750], [0.513, 0.487, 0.250], [0.790, 0.210, 0.551], [0.790, 0.210, 0.950], [0.884, 0.116, 0.250], [0.384, 0.616, 0.044], [0.384, 0.616, 0.457], [0.616, 0.384, 0.544], [0.616, 0.384, 0.957], [0.294, 0.706, 0.750], [0.706, 0.294, 0.250], [0.095, 0.905, 0.250], [0.905, 0.095, 0.750]], "crystal_system": "orthorhombic", "space_group": "Cmc2_1 (36)"}


(7)
{"formula": "TbPm2Dy5In", "functional": "PBE-GGA", "state": "relaxed", "lattice": [[2.694, -10.063, 0.000], [2.694, 10.063, 0.000], [0.000, 0.000, 10.576]], "species": ["Tb", "Tb", "Pm", "Pm", "Pm", "Pm", "Dy", "Dy", "Dy", "Dy", "Dy", "Dy", "Dy", "Dy", "Dy", "Dy", "In", "In"], "frac_coords": [[0.207, 0.793, 0.750], [0.793, 0.207, 0.250], [0.116, 0.884, 0.043], [0.116, 0.884, 0.457], [0.884, 0.116, 0.543], [0.884, 0.116, 0.957], [0.013, 0.987, 0.750], [0.290, 0.710, 0.051], [0.290, 0.710, 0.449], [0.385, 0.615, 0.750], [0.500, 0.500, 0.000], [0.500, 0.500, 0.500], [0.615, 0.385, 0.250], [0.710, 0.290, 0.551], [0.710, 0.290, 0.949], [0.987, 0.013, 0.250], [0.405, 0.595, 0.250], [0.595, 0.405, 0.750]], "crystal_system": "orthorhombic", "space_group": "Cmcm (63)"}


(8)
{"formula": "PmDyInTc", "functional": "PBE-GGA", "state": "relaxed", "lattice": [[0.000, 3.635, 3.635], [3.635, 0.000, 3.635], [3.635, 3.635, 0.000]], "species": ["Pm", "Dy", "In", "Tc"], "frac_coords": [[0.000, 0.000, 0.000], [0.500, 0.500, 0.500], [0.250, 0.250, 0.250], [0.750, 0.750, 0.750]], "crystal_system": "cubic", "space_group": "F-43m (216)"}


no.,calculated total energy (eV/cell)
1,-54.80
2,-33.34
3,-79.65
4,-54.38
5,-54.40
6,-80.22
7,-79.99
8,-22.81